Record 1
VASP calculation (GGA-PBE) on crystalline Ba2AlGaAs at its relaxed geometry.

POSCAR file:
```
Ba2AlGaAs
1.0
6.332 0.000 0.000
0.000 4.829 0.000
0.000 0.000 6.332
As Ba Ga Al
1 2 1 1
Direct
0.000 0.000 0.000 As
0.000 0.000 0.500 Ba
0.500 0.000 0.000 Ba
0.500 0.500 0.500 Ga
0.000 0.500 0.000 Al
```

Properties
Density of states at the Fermi level = 1.265 states/eV/atom
E_form = -207 meV per atom
Total magnetic moment = 0.0 Bohr magnetons per cell
Theoretical density = 3827 kg/m³

=====

Record 2
VASP calculation (GGA-PBE) on crystalline Ba2Al2Ge2As at its relaxed geometry.

POSCAR file:
```
Ba2Al2Ge2As
1.0
-1.802 -1.374 -3.934
-4.071 -5.347 1.117
-7.720 0.332 3.415
Ba Al Ge As
2 2 2 1
Direct
0.563 0.874 0.799 Ba
0.437 0.126 0.201 Ba
0.787 0.425 0.647 Al
0.213 0.575 0.353 Al
0.829 0.343 0.377 Ge
0.171 0.657 0.623 Ge
0.000 0.000 0.000 As
```

Properties
Density of states at the Fermi level = 0.449 states/eV/atom
E_form = -516 meV per atom
Total magnetic moment = 0.0 Bohr magnetons per cell
Theoretical density = 4697 kg/m³